No. 1
A plane-wave DFT calculation with PBE was carried out for a relaxed NbAsO4 crystal.

a b c (Å): 5.2802 5.2802 9.6398
angles (deg): 90.00 90.00 90.00
Closest atoms and distances in Å follow each position.
Space group P-42c (No. 112)
One atom of each set of equivalent atoms:
Nb1 0.0000 0.0000 0.0000 (multiplicity 2)  4 O 1.88
As1 0.0000 0.5000 0.2500 (multiplicity 2)  4 O 2.00
O1 0.1410 0.2543 0.3872 (multiplicity 8)  1 Nb 1.88, 1 As 2.00

Computed properties:
Raw formation energy ... -1.65 eV/atom
DFT total energy ... -7.407 eV/atom


No. 2
A plane-wave DFT calculation with PBE was carried out for a relaxed Y4MgRu3 crystal.

a b c (Å): 4.8840 4.8840 7.1315
angles (deg): 90.00 90.00 90.00
Closest atoms and distances in Å follow each position.
Space group P4/mmm (No. 123)
One atom of each set of equivalent atoms:
Y1 0.0000 0.5000 0.2332 (multiplicity 4)  6 Ru 2.95-3.10, 2 Mg 3.10
Mg1 0.0000 0.0000 0.5000 (multiplicity 1)  8 Y 3.10, 4 Ru 3.45
Ru1 0.0000 0.0000 0.0000 (multiplicity 1)  8 Y 2.95
Ru2 0.5000 0.5000 0.0000 (multiplicity 1)  8 Y 2.95
Ru3 0.5000 0.5000 0.5000 (multiplicity 1)  8 Y 3.10, 4 Mg 3.45

Computed properties:
ΔE_f ... -2.2 eV per formula unit
DFT total energy ... -7.182 eV/atom


No. 3
A plane-wave DFT calculation with PBE was carried out for a relaxed Pm5HoAg6 crystal.

a b c (Å): 5.2756 7.3497 8.3358
angles (deg): 90.00 108.04 90.00
Closest atoms and distances in Å follow each position.
Space group P2/m (No. 10)
One atom of each set of equivalent atoms:
Pm1 0.0000 0.0000 0.0000 (multiplicity 1)  8 Ag 3.19-3.25
Pm2 0.3319 0.0000 0.6640 (multiplicity 2)  8 Ag 3.23-3.27
Pm3 0.3342 0.5000 0.6683 (multiplicity 2)  8 Ag 3.18-3.26
Ho1 0.0000 0.5000 0.0000 (multiplicity 1)  8 Ag 3.15-3.18
Ag1 0.1633 0.2546 0.3264 (multiplicity 4)  1 Ho 3.15, 7 Pm 3.19-3.27
Ag2 0.5000 0.2574 0.0000 (multiplicity 2)  6 Pm 3.18-3.27, 2 Ho 3.18

Computed properties:
ΔE_f ... -3.3 eV per formula unit
DFT total energy ... -4.065 eV/atom


No. 4
A plane-wave DFT calculation with PBE was carried out for a relaxed TlSnAu2F crystal.

a b c (Å): 5.3683 5.3683 4.4292
angles (deg): 90.00 90.00 90.00
Closest atoms and distances in Å follow each position.
Space group P4/mmm (No. 123)
One atom of each set of equivalent atoms:
Tl1 0.0000 0.0000 0.0000 (multiplicity 1)  8 Au 3.48, 4 F 3.80
Sn1 0.5000 0.5000 0.5000 (multiplicity 1)  2 F 2.21
Au1 0.0000 0.5000 0.5000 (multiplicity 2)  2 Sn 2.68
F1 0.5000 0.5000 0.0000 (multiplicity 1)  2 Sn 2.21

Computed properties:
Raw formation energy ... -0.58 eV/atom
DFT total energy ... -3.540 eV/atom


No. 5
A plane-wave DFT calculation with PBE was carried out for a relaxed PaGa2Ir crystal.

a b c (Å): 5.1317 6.8567 4.5087
angles (deg): 90.00 90.00 90.00
Closest atoms and distances in Å follow each position.
Space group Cmmm (No. 65)
One atom of each set of equivalent atoms:
Pa1 0.0000 0.0000 0.0000 (multiplicity 2)  2 Ir 2.57
Ga1 0.0000 0.3102 0.5000 (multiplicity 4)  3 Ga 2.60-2.70, 2 Ir 2.60
Ir1 0.0000 0.5000 0.0000 (multiplicity 2)  2 Pa 2.57, 4 Ga 2.60

Computed properties:
ΔE_f ... -2.3 eV per formula unit
DFT total energy ... -6.681 eV/atom


No. 6
A plane-wave DFT calculation with PBE was carried out for a relaxed Na2Ge3Pt4Rh crystal.

a b c (Å): 4.0768 4.0768 11.0511
angles (deg): 90.00 90.00 90.00
Closest atoms and distances in Å follow each position.
Space group P-4m2 (No. 115)
One atom of each set of equivalent atoms:
Na1 0.0000 0.5000 0.2434 (multiplicity 2)  4 Pt 3.08, 6 Ge 3.17-3.38, 2 Rh 3.38
Ge1 0.0000 0.0000 0.0000 (multiplicity 1)  4 Pt 2.60, 4 Rh 2.88
Ge2 0.0000 0.5000 0.6382 (multiplicity 2)  5 Pt 2.38-2.55
Pt1 0.0000 0.0000 0.5000 (multiplicity 1)  4 Ge 2.55
Pt2 0.0000 0.5000 0.8535 (multiplicity 2)  3 Ge 2.38-2.60, 2 Rh 2.60
Pt3 0.5000 0.5000 0.5000 (multiplicity 1)  4 Ge 2.55
Rh1 0.5000 0.5000 0.0000 (multiplicity 1)  4 Pt 2.60, 4 Ge 2.88

Computed properties:
ΔE_f ... -3.9 eV per formula unit
DFT total energy ... -5.192 eV/atom


No. 7
A plane-wave DFT calculation with PBE was carried out for a relaxed Sn3As crystal.

a b c (Å): 4.0697 5.9361 4.5366
angles (deg): 90.00 90.00 90.00
Closest atoms and distances in Å follow each position.
Space group Pmm2 (No. 25)
One atom of each set of equivalent atoms:
Sn1 0.0000 0.0000 0.0000 (multiplicity 1)  6 Sn 3.02-3.07
Sn2 0.0000 0.5000 0.1230 (multiplicity 1)  2 As 2.76, 2 Sn 3.02
Sn3 0.5000 0.0000 0.5072 (multiplicity 1)  2 As 2.97, 4 Sn 3.02-3.07
As1 0.5000 0.5000 0.5350 (multiplicity 1)  4 Sn 2.76-2.97

Computed properties:
Energy above the lowest structure with this stoichiometry ... 0.0 meV per atom
ΔE_f ... 0.1 eV per formula unit
DFT total energy ... -4.139 eV/atom


No. 8
A plane-wave DFT calculation with PBE was carried out for a relaxed TlIn2GaRe crystal.

a b c (Å): 5.2869 5.2869 4.8798
angles (deg): 90.00 90.00 90.00
Closest atoms and distances in Å follow each position.
Space group P4/mmm (No. 123)
One atom of each set of equivalent atoms:
Tl1 0.0000 0.0000 0.0000 (multiplicity 1)  8 In 3.60, 4 Re 3.74
In1 0.0000 0.5000 0.5000 (multiplicity 2)  2 Ga 2.64
Ga1 0.5000 0.5000 0.5000 (multiplicity 1)  2 Re 2.44, 4 In 2.64
Re1 0.5000 0.5000 0.0000 (multiplicity 1)  2 Ga 2.44

Computed properties:
ΔE_f ... 5.0 eV per formula unit
DFT total energy ... -3.660 eV/atom